Entry from the Alexandria database: Tb6Ce2Pm3Ho after structural relaxation (PBE).

Summary:
D(E_F) = 21.28 states/eV/f.u.
E_form = 0.0453 eV per atom
crystal system = monoclinic

Unit cell a=6.190 b=6.190 c=11.815 alpha=95.01 beta=95.01 gamma=120.00
Fractional positions:
Tb (0.918, 0.582, 0.754)
Tb (0.747, 0.747, 0.246)
Tb (0.082, 0.418, 0.246)
Tb (0.582, 0.918, 0.754)
Tb (0.253, 0.253, 0.754)
Tb (0.418, 0.082, 0.246)
Ce (0.334, 0.666, 0.000)
Ce (0.666, 0.334, 0.000)
Pm (0.166, 0.834, 0.500)
Pm (0.834, 0.166, 0.500)
Pm (0.500, 0.500, 0.500)
Ho (0.000, 0.000, 0.000)


Entry from the Alexandria database: Tb6CePm2Ho3 after structural relaxation (PBE).

Summary:
D(E_F) = 19.58 states/eV/f.u.
E_form = 0.0375 eV per atom
crystal system = monoclinic

Unit cell a=6.178 b=6.178 c=11.816 alpha=95.00 beta=95.00 gamma=120.00
Fractional positions:
Tb (0.916, 0.585, 0.748)
Tb (0.753, 0.753, 0.252)
Tb (0.084, 0.415, 0.252)
Tb (0.585, 0.916, 0.748)
Tb (0.247, 0.247, 0.748)
Tb (0.415, 0.084, 0.252)
Ce (0.000, 0.000, 0.000)
Pm (0.334, 0.666, 0.000)
Pm (0.666, 0.334, 0.000)
Ho (0.167, 0.833, 0.500)
Ho (0.833, 0.167, 0.500)
Ho (0.500, 0.500, 0.500)


Entry from the Alexandria database: Tb3Ce2PmHo6 after structural relaxation (PBE).

Summary:
D(E_F) = 21.60 states/eV/f.u.
E_form = 0.0474 eV per atom
crystal system = monoclinic

Unit cell a=6.135 b=6.135 c=11.708 alpha=95.01 beta=95.01 gamma=119.99
Fractional positions:
Tb (0.166, 0.834, 0.500)
Tb (0.834, 0.166, 0.500)
Tb (0.500, 0.500, 0.500)
Ce (0.333, 0.667, 0.000)
Ce (0.667, 0.333, 0.000)
Pm (0.000, 0.000, 0.000)
Ho (0.916, 0.580, 0.750)
Ho (0.748, 0.748, 0.250)
Ho (0.084, 0.420, 0.250)
Ho (0.580, 0.916, 0.750)
Ho (0.252, 0.252, 0.750)
Ho (0.420, 0.084, 0.250)


Entry from the Alexandria database: TbCePm6Ho2 after structural relaxation (PBE).

Summary:
D(E_F) = 22.49 states/eV/f.u.
E_form = 0.2429 eV per atom
crystal system = monoclinic

Unit cell a=8.859 b=6.980 c=6.653 alpha=121.64 beta=101.83 gamma=90.00
Fractional positions:
Tb (0.500, 0.000, 0.000)
Ce (0.000, 0.500, 0.000)
Pm (0.417, 0.626, 0.253)
Pm (0.201, 0.063, 0.656)
Pm (0.799, 0.407, 0.344)
Pm (0.201, 0.593, 0.656)
Pm (0.799, 0.937, 0.344)
Pm (0.583, 0.374, 0.747)
Ho (0.164, 0.091, 0.181)
Ho (0.836, 0.909, 0.819)


Entry from the Alexandria database: Tb4CePmHo2 after structural relaxation (PBE).

Summary:
D(E_F) = 13.47 states/eV/f.u.
E_form = 0.0404 eV per atom
crystal system = monoclinic

Unit cell a=3.553 b=6.151 c=11.820 alpha=80.05 beta=90.00 gamma=90.00
Fractional positions:
Tb (0.000, 0.749, 0.748)
Tb (0.000, 0.251, 0.252)
Tb (0.500, 0.746, 0.253)
Tb (0.500, 0.254, 0.747)
Ce (0.000, 0.500, 0.500)
Pm (0.500, 0.500, 0.000)
Ho (0.000, 0.000, 0.000)
Ho (0.500, 0.000, 0.500)


Entry from the Alexandria database: TbCePm2Ho5 after structural relaxation (PBE).

Summary:
D(E_F) = 14.88 states/eV/f.u.
E_form = 0.2720 eV per atom
crystal system = tetragonal

Unit cell a=8.580 b=8.580 c=9.863 alpha=115.78 beta=115.78 gamma=90.00
Fractional positions:
Tb (0.250, 0.250, 0.500)
Tb (0.750, 0.750, 0.500)
Ce (0.250, 0.750, 0.500)
Ce (0.750, 0.250, 0.500)
Pm (0.120, 0.380, 0.000)
Pm (0.620, 0.120, 0.000)
Pm (0.380, 0.880, 0.000)
Pm (0.880, 0.620, 0.000)
Ho (0.936, 0.436, 0.281)
Ho (0.656, 0.156, 0.719)
Ho (0.064, 0.564, 0.719)
Ho (0.156, 0.064, 0.719)
Ho (0.564, 0.656, 0.719)
Ho (0.844, 0.936, 0.281)
Ho (0.436, 0.344, 0.281)
Ho (0.344, 0.844, 0.281)
Ho (0.500, 0.500, 0.000)
Ho (0.000, 0.000, 0.000)